1.
DFT (GGA-PBE) results for an optimized crystal structure of MgZr2In4.

abc: 13.9900 13.9900 13.9900
angles: 90.00 90.00 90.00
Space group Fd-3m (No. 227, origin choice 2)
Unique sites:
Mg 0.0000 0.0000 0.0000 x16
Zr 0.0401 0.0401 0.7099 x32
In 0.0000 0.0000 0.5000 x16
In 0.0989 0.3750 0.3750 x48

Output
For the size of the total moment, the calculation gives 0.0000 μB/atom. The calculation puts the energy relative to the elements at -0.02 eV/atom.

2.
DFT (GGA-PBE) results for an optimized crystal structure of CaLa2YSb4.

abc: 7.7553 4.5696 7.9652
angles: 90.00 109.77 90.00
Space group P2/m (No. 10)
Unique sites:
Ca 0.0000 0.0000 0.0000 x1
La 0.5000 0.0000 0.5000 x1
La 0.5000 0.5000 0.0000 x1
Y 0.0000 0.5000 0.5000 x1
Sb 0.2395 0.0000 0.7421 x2
Sb 0.2428 0.5000 0.2527 x2

Output
For the size of the total moment, the calculation gives 0.0000 μB/atom. Its formation energy from raw total energies is -1.100 eV per atom.

3.
DFT (GGA-PBE) results for an optimized crystal structure of Li6ZnPd.

abc: 4.5351 5.6706 9.7978
angles: 90.00 90.00 90.00
Space group Amm2 (No. 38)
Unique sites:
Li 0.0000 0.0000 0.0000 x2
Li 0.0000 0.2346 0.7655 x4
Li 0.5000 0.0000 0.3463 x2
Li 0.5000 0.2448 0.5908 x4
Zn 0.0000 0.0000 0.5105 x2
Pd 0.5000 0.0000 0.8425 x2

Output
For the size of the total moment, the calculation gives 0.0000 μB/atom. The calculation puts the energy relative to the elements at -0.18 eV/atom.

4.
DFT (GGA-PBE) results for an optimized crystal structure of Sr3Sm2Ga2Pt4.

abc: 4.5491 4.5491 16.4584
angles: 90.00 90.00 120.00
Space group P-3m1 (No. 164)
Unique sites:
Sr 0.0000 0.0000 0.0000 x1
Sr 0.0000 0.0000 0.2526 x2
Sm 0.3333 0.6667 0.5692 x2
Ga 0.3333 0.6667 0.1293 x2
Pt 0.3333 0.6667 0.3759 x2
Pt 0.3333 0.6667 0.8708 x2

Output
For the size of the total moment, the calculation gives 0.0000 μB/atom. The calculation puts the energy relative to the elements at -0.81 eV/atom.